An optimized crystal structure of NdCuNi, computed with PBE-GGA.

Structure (POSCAR):
```
NdCuNi
1.0
-1.333 0.025 -3.554
3.458 -1.965 -1.311
-3.330 -2.220 1.233
Ni Nd Cu
1 1 1
direct
0.167 0.333 0.667 Ni
0.667 0.667 0.333 Nd
0.167 0.000 0.000 Cu
```

ΔH_f (0 K) = -24.9 kJ/mol of atoms



An optimized crystal structure of TlPtAu2, computed with PBE-GGA.

Structure (POSCAR):
```
TlPtAu2
1.0
-0.765 -2.308 -4.707
1.573 -5.058 -0.098
-3.157 2.945 3.070
Pt Au Tl
1 2 1
direct
0.504 0.504 0.000 Pt
0.998 0.998 0.000 Au
0.252 0.752 0.500 Au
0.747 0.247 0.500 Tl
```

ΔH_f (0 K) = 8.0 kJ/mol of atoms



An optimized crystal structure of Sr2TlSnSe, computed with PBE-GGA.

Structure (POSCAR):
```
Sr2TlSnSe
1.0
5.780 0.000 0.000
0.000 5.919 0.000
0.000 0.000 5.780
Se Sr Sn Tl
1 2 1 1
direct
0.000 0.000 0.000 Se
0.000 0.000 0.500 Sr
0.500 0.000 0.000 Sr
0.500 0.500 0.500 Sn
0.000 0.500 0.000 Tl
```

formation energy without anion corrections = -279 kJ/mol of formula units



Number 1: total magnetic moment 0.0 μB per formula unit. Number 2: total magnetic moment 0.0 μB per formula unit. Number 3: total magnetic moment 0.0 μB per formula unit.